(1)
VASP calculation (PBE-GGA) on a relaxed Tb3Dy3PuSe8 crystal.

Lattice parameters (Å, degrees): 8.1555 8.1555 19.9870 90.00 90.00 120.00
Space group R-3m (No. 166, hexagonal axes)
One atom of each set of equivalent atoms:
Tb: 0.0000 0.5000 0.0000 (multiplicity 9)
Dy: 0.0000 0.5000 0.5000 (multiplicity 9)
Pu: 0.0000 0.0000 0.5000 (multiplicity 3)
Se: 0.0000 0.0000 0.2494 (multiplicity 6)
Se: 0.0088 0.5044 0.7484 (multiplicity 18)

The density of states at the Fermi level comes out at 48.63 states/eV/cell. The formation energy (no corrections) is -1788 meV per atom.

***

(2)
VASP calculation (PBE-GGA) on a relaxed Tc3MoPb crystal.

Lattice parameters (Å, degrees): 4.7446 4.7446 4.7446 90.00 90.00 90.00
Space group Pm-3m (No. 221)
One atom of each set of equivalent atoms:
Tc: 0.0000 0.0000 0.5000 (multiplicity 3)
Mo: 0.0000 0.0000 0.0000 (multiplicity 1)
Pb: 0.5000 0.5000 0.5000 (multiplicity 1)

The density of states at the Fermi level comes out at 5.49 states/eV/cell. The energy of formation from the pure elements is 1.516 eV/atom. For the energy above the most stable polymorph in this dataset, the calculation gives 0 meV per atom.

***

(3)
VASP calculation (PBE-GGA) on a relaxed Y2MnBr crystal.

Lattice parameters (Å, degrees): 7.8044 7.3775 3.3646 90.00 92.47 90.00
Space group C2/m (No. 12)
One atom of each set of equivalent atoms:
Y: 0.2500 0.2500 0.0000 (multiplicity 4)
Mn: 0.0000 0.0000 0.5000 (multiplicity 2)
Br: 0.0000 0.5000 0.5000 (multiplicity 2)

The density of states at the Fermi level comes out at 8.59 states/eV/cell. The formation energy (no corrections) is -181 meV per atom. For the energy above the most stable polymorph in this dataset, the calculation gives 237 meV per atom.

***

(4)
VASP calculation (PBE-GGA) on a relaxed NaInBr2 crystal.

Lattice parameters (Å, degrees): 7.8016 7.8016 7.8016 90.00 90.00 90.00
Space group Fm-3m (No. 225)
One atom of each set of equivalent atoms:
Na: 0.0000 0.0000 0.0000 (multiplicity 4)
In: 0.0000 0.0000 0.5000 (multiplicity 4)
Br: 0.2500 0.2500 0.2500 (multiplicity 8)

The density of states at the Fermi level comes out at 0.00 states/eV/cell. The formation energy (no corrections) is -981 meV per atom. For the energy above the most stable polymorph in this dataset, the calculation gives 108 meV per atom.

***

(5)
VASP calculation (PBE-GGA) on a relaxed LiYSn crystal.

Lattice parameters (Å, degrees): 7.0012 7.0012 7.0012 90.00 90.00 90.00
Space group F-43m (No. 216)
One atom of each set of equivalent atoms:
Li: 0.0000 0.0000 0.0000 (multiplicity 4)
Y: 0.0000 0.0000 0.5000 (multiplicity 4)
Sn: 0.2500 0.2500 0.7500 (multiplicity 4)

The energy of formation from the pure elements is -0.459 eV/atom.

***

(6)
VASP calculation (PBE-GGA) on a relaxed Ba4SiBr3 crystal.

Lattice parameters (Å, degrees): 8.3371 9.6397 8.3354 90.00 109.36 90.00
Space group P2/c (No. 13)
One atom of each set of equivalent atoms:
Ba: 0.2278 0.1099 0.0015 (multiplicity 4)
Ba: 0.2359 0.3610 0.4823 (multiplicity 4)
Si: 0.0000 0.1334 0.2500 (multiplicity 2)
Br: 0.0000 0.3769 0.7500 (multiplicity 2)
Br: 0.5000 0.1350 0.7500 (multiplicity 2)
Br: 0.5000 0.3792 0.2500 (multiplicity 2)

The density of states at the Fermi level comes out at 4.93 states/eV/cell. The formation energy (no corrections) is -1378 meV per atom.

***

(7)
VASP calculation (PBE-GGA) on a relaxed BeTlW2 crystal.

Lattice parameters (Å, degrees): 3.7834 3.7834 19.6321 90.00 90.00 90.00
Space group I-42d (No. 122)
One atom of each set of equivalent atoms:
Be: 0.0000 0.0000 0.0000 (multiplicity 4)
Tl: 0.0000 0.0000 0.5000 (multiplicity 4)
W: 0.2304 0.2500 0.1250 (multiplicity 8)

The density of states at the Fermi level comes out at 9.41 states/eV/cell. The energy of formation from the pure elements is 1.051 eV/atom. For the energy above the most stable polymorph in this dataset, the calculation gives 530 meV per atom.

***

(8)
VASP calculation (PBE-GGA) on a relaxed AlCd2Tc crystal.

Lattice parameters (Å, degrees): 3.3569 4.6625 9.3508 90.00 90.00 90.00
Space group Cmm2 (No. 35)
One atom of each set of equivalent atoms:
Al: 0.0000 0.0000 0.0000 (multiplicity 2)
Cd: 0.0000 0.0000 0.4475 (multiplicity 2)
Cd: 0.0000 0.5000 0.7369 (multiplicity 2)
Tc: 0.0000 0.5000 0.1986 (multiplicity 2)

The density of states at the Fermi level comes out at 5.77 states/eV/cell. The energy of formation from the pure elements is 0.200 eV/atom.

***

(9)
VASP calculation (PBE-GGA) on a relaxed Mg2TlSb crystal.

Lattice parameters (Å, degrees): 4.3213 4.3213 10.6998 90.00 90.00 90.00
Space group I-4m2 (No. 119)
One atom of each set of equivalent atoms:
Mg: 0.0000 0.0000 0.0000 (multiplicity 2)
Mg: 0.0000 0.5000 0.2500 (multiplicity 2)
Tl: 0.0000 0.0000 0.5000 (multiplicity 2)
Sb: 0.0000 0.5000 0.7500 (multiplicity 2)

The density of states at the Fermi level comes out at 2.79 states/eV/cell. The formation energy (no corrections) is -101 meV per atom. For the energy above the most stable polymorph in this dataset, the calculation gives 61 meV per atom.

***

(10)
VASP calculation (PBE-GGA) on a relaxed RbRuPb2 crystal.

Lattice parameters (Å, degrees): 7.4142 7.4142 7.4142 90.00 90.00 90.00
Space group Fm-3m (No. 225)
One atom of each set of equivalent atoms:
Rb: 0.0000 0.0000 0.0000 (multiplicity 4)
Ru: 0.0000 0.0000 0.5000 (multiplicity 4)
Pb: 0.2500 0.2500 0.2500 (multiplicity 8)

The density of states at the Fermi level comes out at 13.30 states/eV/cell. The energy of formation from the pure elements is 0.677 eV/atom. For the energy above the most stable polymorph in this dataset, the calculation gives 353 meV per atom.

***

(11)
VASP calculation (PBE-GGA) on a relaxed Ac2InCl crystal.

Lattice parameters (Å, degrees): 4.0270 4.0270 29.2533 90.00 90.00 120.00
Space group R3m (No. 160, hexagonal axes)
One atom of each set of equivalent atoms:
Ac: 0.0000 0.0000 0.0000 (multiplicity 3)
Ac: 0.0000 0.0000 0.1636 (multiplicity 3)
In: 0.0000 0.0000 0.5813 (multiplicity 3)
Cl: 0.0000 0.0000 0.4152 (multiplicity 3)

The density of states at the Fermi level comes out at 5.48 states/eV/cell. The formation energy (no corrections) is -864 meV per atom. For the energy above the most stable polymorph in this dataset, the calculation gives 0 meV per atom.

***

(12)
VASP calculation (PBE-GGA) on a relaxed MgRe crystal.

Lattice parameters (Å, degrees): 8.9964 2.7890 5.2575 90.00 94.74 90.00
Space group C2/m (No. 12)
One atom of each set of equivalent atoms:
Mg: 0.1209 0.0000 0.3808 (multiplicity 4)
Re: 0.1259 0.5000 0.9058 (multiplicity 4)

The density of states at the Fermi level comes out at 5.64 states/eV/cell. The energy of formation from the pure elements is 0.307 eV/atom. For the energy above the most stable polymorph in this dataset, the calculation gives 240 meV per atom.

***

(13)
VASP calculation (PBE-GGA) on a relaxed GaAgHg2Se4 crystal.

Lattice parameters (Å, degrees): 6.1472 6.1472 11.9325 90.00 90.00 90.00
Space group I-42m (No. 121)
One atom of each set of equivalent atoms:
Ga: 0.0000 0.0000 0.0000 (multiplicity 2)
Ag: 0.0000 0.0000 0.5000 (multiplicity 2)
Hg: 0.0000 0.5000 0.2500 (multiplicity 4)
Se: 0.2355 0.2355 0.8853 (multiplicity 8)

The density of states at the Fermi level comes out at 3.44 states/eV/cell. The formation energy (no corrections) is -331 meV per atom.

***

(14)
VASP calculation (PBE-GGA) on a relaxed La2Sn3SbPt4 crystal.

Lattice parameters (Å, degrees): 4.7162 4.7162 10.4658 90.00 90.00 90.00
Space group P-4m2 (No. 115)
One atom of each set of equivalent atoms:
La: 0.0000 0.5000 0.2388 (multiplicity 2)
Sn: 0.0000 0.5000 0.8743 (multiplicity 2)
Sn: 0.5000 0.5000 0.5000 (multiplicity 1)
Sb: 0.0000 0.0000 0.5000 (multiplicity 1)
Pt: 0.0000 0.0000 0.0000 (multiplicity 1)
Pt: 0.0000 0.5000 0.6238 (multiplicity 2)
Pt: 0.5000 0.5000 0.0000 (multiplicity 1)

The density of states at the Fermi level comes out at 6.55 states/eV/cell. The formation energy (no corrections) is -892 meV per atom.

***

(15)
VASP calculation (PBE-GGA) on a relaxed Y2MgGeH crystal.

Lattice parameters (Å, degrees): 4.7062 4.7062 4.3454 90.00 90.00 90.00
Space group P4/mmm (No. 123)
One atom of each set of equivalent atoms:
Y: 0.0000 0.5000 0.0000 (multiplicity 2)
Mg: 0.0000 0.0000 0.5000 (multiplicity 1)
Ge: 0.5000 0.5000 0.5000 (multiplicity 1)
H: 0.0000 0.0000 0.0000 (multiplicity 1)

The density of states at the Fermi level comes out at 3.77 states/eV/cell.

***

(16)
VASP calculation (PBE-GGA) on a relaxed KMgRu2 crystal.

Lattice parameters (Å, degrees): 9.5224 2.7870 6.7722 90.00 95.11 90.00
Space group C2/m (No. 12)
One atom of each set of equivalent atoms:
K: 0.0000 0.0000 0.0000 (multiplicity 2)
Mg: 0.0000 0.5000 0.5000 (multiplicity 2)
Ru: 0.2354 0.0000 0.6512 (multiplicity 4)

The density of states at the Fermi level comes out at 8.01 states/eV/cell. The energy of formation from the pure elements is 0.714 eV/atom.

***

(17)
VASP calculation (PBE-GGA) on a relaxed CaTb3Pm12 crystal.

Lattice parameters (Å, degrees): 5.1553 5.1553 20.5998 90.00 90.00 90.00
Space group P4/mmm (No. 123)
One atom of each set of equivalent atoms:
Ca: 0.0000 0.0000 0.0000 (multiplicity 1)
Tb: 0.0000 0.0000 0.2514 (multiplicity 2)
Tb: 0.0000 0.0000 0.5000 (multiplicity 1)
Pm: 0.0000 0.5000 0.1298 (multiplicity 4)
Pm: 0.0000 0.5000 0.3763 (multiplicity 4)
Pm: 0.5000 0.5000 0.0000 (multiplicity 1)
Pm: 0.5000 0.5000 0.2510 (multiplicity 2)
Pm: 0.5000 0.5000 0.5000 (multiplicity 1)

The density of states at the Fermi level comes out at 24.35 states/eV/cell. The energy of formation from the pure elements is 0.030 eV/atom.

***

(18)
VASP calculation (PBE-GGA) on a relaxed Ac2AgTe3 crystal.

Lattice parameters (Å, degrees): 6.7457 16.2338 15.4826 90.00 94.62 90.00
Space group C2/c (No. 15)
One atom of each set of equivalent atoms:
Ac: 0.2384 0.0960 0.0842 (multiplicity 8)
Ac: 0.2422 0.3295 0.3364 (multiplicity 8)
Ag: 0.1231 0.0242 0.8249 (multiplicity 8)
Te: 0.0000 0.1684 0.2500 (multiplicity 4)
Te: 0.0000 0.4955 0.2500 (multiplicity 4)
Te: 0.2255 0.1946 0.8873 (multiplicity 8)
Te: 0.2398 0.4156 0.5291 (multiplicity 8)

The formation energy (no corrections) is -1178 meV per atom. For the energy above the most stable polymorph in this dataset, the calculation gives 0 meV per atom.

***

(19)
VASP calculation (PBE-GGA) on a relaxed TbEr12Sc3 crystal.

Lattice parameters (Å, degrees): 4.9024 4.9024 19.5749 90.00 90.00 90.00
Space group P4/mmm (No. 123)
One atom of each set of equivalent atoms:
Tb: 0.0000 0.0000 0.0000 (multiplicity 1)
Er: 0.0000 0.5000 0.1286 (multiplicity 4)
Er: 0.0000 0.5000 0.3763 (multiplicity 4)
Er: 0.5000 0.5000 0.0000 (multiplicity 1)
Er: 0.5000 0.5000 0.2529 (multiplicity 2)
Er: 0.5000 0.5000 0.5000 (multiplicity 1)
Sc: 0.0000 0.0000 0.2522 (multiplicity 2)
Sc: 0.0000 0.0000 0.5000 (multiplicity 1)

The density of states at the Fermi level comes out at 23.88 states/eV/cell. The energy of formation from the pure elements is 0.038 eV/atom.

***

(20)
VASP calculation (PBE-GGA) on a relaxed Y4TeSe5 crystal.

Lattice parameters (Å, degrees): 18.0171 4.1630 8.6046 90.00 106.69 90.00
Space group C2/m (No. 12)
One atom of each set of equivalent atoms:
Y: 0.0061 0.0000 0.2741 (multiplicity 4)
Y: 0.1842 0.5000 0.1249 (multiplicity 4)
Te: 0.0000 0.5000 0.0000 (multiplicity 2)
Se: 0.0000 0.5000 0.5000 (multiplicity 2)
Se: 0.1598 0.0000 0.8726 (multiplicity 4)
Se: 0.1647 0.0000 0.3315 (multiplicity 4)

The density of states at the Fermi level comes out at 0.12 states/eV/cell. The formation energy (no corrections) is -1737 meV per atom.

***

Number 1: spin magnetization 6.3 μB/f.u., calculated total energy -6.448 eV/atom. Number 2: spin magnetization 2.6 μB/f.u., calculated total energy -7.612 eV/atom. Number 3: spin magnetization 2.9 μB/f.u., calculated total energy -6.124 eV/atom. Number 4: spin magnetization 0.0 μB/f.u., calculated total energy -2.832 eV/atom. Number 5: spin magnetization 0.0 μB/f.u., calculated total energy -4.586 eV/atom. Number 6: spin magnetization 0.0 μB/f.u., calculated total energy -3.644 eV/atom. Number 7: spin magnetization 0.0 μB/f.u., calculated total energy -6.949 eV/atom. Number 8: spin magnetization 0.0 μB/f.u., calculated total energy -3.784 eV/atom. Number 9: spin magnetization 0.0 μB/f.u., calculated total energy -2.521 eV/atom. Number 10: spin magnetization 0.0 μB/f.u., calculated total energy -3.738 eV/atom. Number 11: spin magnetization 0.0 μB/f.u., calculated total energy -4.065 eV/atom. Number 12: spin magnetization 0.0 μB/f.u., calculated total energy -6.714 eV/atom. Number 13: spin magnetization 0.0 μB/f.u., calculated total energy -2.883 eV/atom. Number 14: spin magnetization 0.0 μB/f.u., calculated total energy -5.907 eV/atom. Number 15: spin magnetization 0.0 μB/f.u., calculated total energy -4.885 eV/atom. Number 16: spin magnetization 1.8 μB/f.u., calculated total energy -4.597 eV/atom. Number 17: spin magnetization 0.0 μB/f.u., calculated total energy -4.526 eV/atom. Number 18: spin magnetization 0.0 μB/f.u., calculated total energy -4.594 eV/atom. Number 19: spin magnetization 0.0 μB/f.u., calculated total energy -4.861 eV/atom. Number 20: spin magnetization 0.0 μB/f.u., calculated total energy -6.380 eV/atom.